No. 1
# CrAg2W

A relaxed CrAg2W crystal (GGA-PBE, Alexandria).

## Properties
E = -25.684 eV for the cell shown
Relative energy among the computed polymorphs = 0.265 eV per atom
Energy of formation from the pure elements = 2.6 eV/f.u.
Space-group type = C2/m (12)
Density of states at the Fermi level = 0.82 states/eV/atom

abc: 5.171 5.171 4.669
angles: 79.79 79.79 31.88
Last column: magnetic moment on the atom in μB.
Sites, in units of the cell vectors:
Cr1 0.750 0.750 0.750  2.58
Ag1 0.499 0.499 0.500  -0.01
Ag2 0.001 0.001 0.000  -0.01
W1 0.250 0.250 0.250  -0.60

---

No. 2
# HoUTe2O

A relaxed HoUTe2O crystal (GGA-PBE, Alexandria).

## Properties
ΔE_f (raw) = -1.76 eV/atom
E = -71.774 eV for the cell shown
Space-group type = P4/nmm (129)
Density of states at the Fermi level = 1.60 states/eV/atom

abc: 4.147 4.147 14.554
angles: 90.00 90.00 90.00
Last column: magnetic moment on the atom in μB.
Sites, in units of the cell vectors:
Te1 0.500 0.000 0.877  0.00
O1 0.500 0.500 0.500  -0.07
Te2 0.000 0.500 0.123  0.00
Te3 0.500 0.000 0.310  -0.06
Ho1 0.500 0.000 0.092  0.01
O2 0.000 0.000 0.500  -0.07
Ho2 0.000 0.500 0.908  0.01
U1 0.500 0.000 0.576  2.41
U2 0.000 0.500 0.424  2.41
Te4 0.000 0.500 0.690  -0.06

---

No. 3
# CeSmN

A relaxed CeSmN crystal (GGA-PBE, Alexandria).

## Properties
ΔE_f (raw) = 0.17 eV/atom
E = -18.459 eV for the cell shown
Relative energy among the computed polymorphs = 1.062 eV per atom
Space-group type = I4mm (107)
Density of states at the Fermi level = 2.23 states/eV/atom

abc: 4.780 4.780 5.200
angles: 117.36 117.36 90.00
Last column: magnetic moment on the atom in μB.
Sites, in units of the cell vectors:
N1 0.623 0.623 0.245  -0.03
Sm1 0.354 0.354 0.708  0.14
Ce1 0.873 0.873 0.747  0.65

---

No. 4
# DyTmMgZn

A relaxed DyTmMgZn crystal (GGA-PBE, Alexandria).

## Properties
E = -12.766 eV for the cell shown
Relative energy among the computed polymorphs = 0.000 eV per atom
Energy of formation from the pure elements = -0.8 eV/f.u.
Space-group type = P4mm (99)
Density of states at the Fermi level = 1.05 states/eV/atom

abc: 3.545 3.545 7.858
angles: 90.00 90.00 90.00
Sites, in units of the cell vectors:
Dy1 0.000 0.000 0.385
Tm1 0.000 0.000 0.828
Mg1 0.500 0.500 0.103
Zn1 0.500 0.500 0.613

---

No. 5
# La5Ag2Sn

A relaxed La5Ag2Sn crystal (GGA-PBE, Alexandria).

## Properties
E = -74.254 eV for the cell shown
Energy of formation from the pure elements = -2.8 eV/f.u.
Space-group type = I4/mcm (140)
Density of states at the Fermi level = 1.45 states/eV/atom

abc: 8.553 8.553 9.122
angles: 117.96 117.96 90.00
Sites, in units of the cell vectors:
Ag1 0.129 0.371 0.000
La1 0.010 0.510 0.701
La2 0.990 0.490 0.299
Ag2 0.629 0.129 0.000
La3 0.510 0.691 0.701
La4 0.191 0.010 0.701
Sn1 0.750 0.750 0.500
Sn2 0.250 0.250 0.500
La5 0.809 0.990 0.299
La6 0.309 0.809 0.299
La7 0.500 0.500 0.000
Ag3 0.871 0.629 0.000
Ag4 0.371 0.871 0.000
La8 0.691 0.191 0.701
La9 0.490 0.309 0.299
La10 0.000 0.000 0.000

---

No. 6
# SrSi3Sb

A relaxed SrSi3Sb crystal (GGA-PBE, Alexandria).

## Properties
ΔE_f (raw) = 1.65 eV/atom
E = -13.812 eV for the cell shown
Relative energy among the computed polymorphs = 0.947 eV per atom
Space-group type = Pm-3m (221)
Density of states at the Fermi level = 0.88 states/eV/atom

abc: 5.453 5.453 5.453
angles: 90.00 90.00 90.00
Sites, in units of the cell vectors:
Si1 0.500 0.000 0.000
Si2 0.000 0.000 0.500
Sb1 0.500 0.500 0.500
Sr1 0.000 0.000 0.000
Si3 0.000 0.500 0.000

---

No. 7
# SbW2Au

A relaxed SbW2Au crystal (GGA-PBE, Alexandria).

## Properties
ΔE_f (raw) = 0.56 eV/atom
E = -31.074 eV for the cell shown
Space-group type = Cm (8)
Density of states at the Fermi level = 0.43 states/eV/atom

abc: 5.067 5.067 4.854
angles: 77.28 77.28 37.44
Sites, in units of the cell vectors:
Sb1 0.741 0.741 0.754
Au1 0.511 0.511 0.489
W1 0.269 0.269 0.225
W2 0.979 0.979 0.031

---

No. 8
# SrTa2Se

A relaxed SrTa2Se crystal (GGA-PBE, Alexandria).

## Properties
ΔE_f (raw) = 0.47 eV/atom
E = -27.000 eV for the cell shown
Space-group type = P4/mmm (123)
Density of states at the Fermi level = 0.82 states/eV/atom

abc: 3.221 3.221 8.631
angles: 90.00 90.00 90.01
Sites, in units of the cell vectors:
Sr1 0.500 0.500 0.750
Ta1 0.000 0.000 0.426
Ta2 0.000 0.000 0.074
Se1 0.500 0.500 0.250

---

No. 9
# TbY4Tm10

A relaxed TbY4Tm10 crystal (GGA-PBE, Alexandria).

## Properties
E = -69.661 eV for the cell shown
Energy of formation from the pure elements = 5.5 eV/f.u.
Space-group type = I4/m (87)
Density of states at the Fermi level = 1.68 states/eV/atom

abc: 10.275 8.570 8.570
angles: 68.94 53.17 53.17
Sites, in units of the cell vectors:
Tm1 0.772 0.676 0.103
Tm2 0.449 0.103 0.324
Y1 0.667 0.261 0.405
Tm3 0.750 0.500 0.500
Tm4 0.875 0.897 0.676
Y2 0.333 0.739 0.595
Tm5 0.250 0.500 0.500
Tb1 0.000 0.000 0.000
Tm6 0.125 0.103 0.324
Tm7 0.228 0.324 0.897
Tm8 0.448 0.676 0.103
Tm9 0.551 0.897 0.676
Y3 0.928 0.405 0.739
Y4 0.072 0.595 0.261
Tm10 0.552 0.324 0.897

---

No. 10
# SrTl3Au

A relaxed SrTl3Au crystal (GGA-PBE, Alexandria).

## Properties
E = -12.128 eV for the cell shown
Energy of formation from the pure elements = -0.1 eV/f.u.
Space-group type = Pm-3m (221)
Density of states at the Fermi level = 0.80 states/eV/atom

abc: 5.588 5.588 5.588
angles: 90.00 90.00 90.00
Sites, in units of the cell vectors:
Tl1 0.000 0.000 0.500
Sr1 0.500 0.500 0.500
Au1 0.000 0.000 0.000
Tl2 0.000 0.500 0.000
Tl3 0.500 0.000 0.000

---

No. 11
# PrY3Th2As6

A relaxed PrY3Th2As6 crystal (GGA-PBE, Alexandria).

## Properties
E = -84.970 eV for the cell shown
Energy of formation from the pure elements = -18.1 eV/f.u.
Space-group type = C2/m (12)
Density of states at the Fermi level = 0.33 states/eV/atom

abc: 4.209 8.380 9.378
angles: 102.62 102.97 90.00
Sites, in units of the cell vectors:
As1 0.666 0.587 0.331
Pr1 0.500 0.000 0.000
As2 0.001 0.742 0.002
As3 0.670 0.081 0.339
As4 0.334 0.413 0.669
Y1 0.835 0.166 0.669
Th1 0.166 0.331 0.331
As5 0.330 0.919 0.661
Y2 0.165 0.834 0.331
As6 0.999 0.258 0.998
Th2 0.834 0.669 0.669
Y3 0.500 0.500 0.000

---

No. 12
# Li2TcPb

A relaxed Li2TcPb crystal (GGA-PBE, Alexandria).

## Properties
E = -16.629 eV for the cell shown
Energy of formation from the pure elements = 1.3 eV/f.u.
Space-group type = Cmmm (65)
Density of states at the Fermi level = 0.70 states/eV/atom

abc: 5.207 5.207 2.859
angles: 90.00 90.00 115.52
Sites, in units of the cell vectors:
Pb1 0.500 0.000 0.500
Li1 0.000 0.000 0.000
Tc1 0.000 0.500 0.500
Li2 0.500 0.500 0.000

---

Question: Which value of density of states at the Fermi level does entry 7 give?
Answer: 0.43 states/eV/atom

---

Question: Which formula does entry 5 have?
Answer: La5Ag2Sn

---

Question: Which formula does entry 10 have?
Answer: SrTl3Au